Here is a geometry-optimized Ta2CrPt structure from Alexandria via LeMat-Bulk. Energies are from PBE-GGA.

## Properties
Crystal system: trigonal
N(E_F) (states/eV/f.u.): 4.01
ΔE_f (meV/atom): 89

abc: 2.898 2.898 27.421
angles: 90.00 90.00 120.00
Atoms (fractional coordinates):
Ta1 0.000 0.000 0.000
Ta2 0.000 0.000 0.242
Ta3 0.333 0.667 0.667
Ta4 0.333 0.667 0.908
Ta5 0.667 0.333 0.333
Ta6 0.667 0.333 0.575
Cr1 0.000 0.000 0.497
Cr2 0.333 0.667 0.163
Cr3 0.667 0.333 0.830
Pt1 0.000 0.000 0.750
Pt2 0.333 0.667 0.416
Pt3 0.667 0.333 0.083